[1]
! NiP2SeN, relaxed, DFT PBE-GGA; values from VASP
&SYSTEM
  ibrav = 0, nat = 5, ntyp = 4
/
ATOMIC_SPECIES
Ni 58.69 Ni.upf
P 30.97 P.upf
Se 78.96 Se.upf
N 14.01 N.upf
CELL_PARAMETERS angstrom
5.488 -1.386 0.000
5.488 1.386 0.000
-1.317 0.000 5.946
ATOMIC_POSITIONS crystal
Ni 0.000 0.000 0.000
P 0.418 0.418 0.191
P 0.538 0.538 0.549
Se 0.208 0.208 0.246
N 0.001 0.001 0.679
! E above lowest polymorph, meV/atom: 87.3
! Calculated volume, Å³ per cell: 90.5
! Electronic total energy, eV per formula unit: -28.24
! ΔE_f (raw), eV per atom: 0.034

---

[2]
! NiP2SeN, relaxed, DFT PBE-GGA; values from VASP
&SYSTEM
  ibrav = 0, nat = 5, ntyp = 4
/
ATOMIC_SPECIES
Ni 58.69 Ni.upf
P 30.97 P.upf
Se 78.96 Se.upf
N 14.01 N.upf
CELL_PARAMETERS angstrom
3.450 0.000 0.000
-1.693 3.898 0.000
-0.082 -2.103 6.201
ATOMIC_POSITIONS crystal
Ni 0.000 0.000 0.000
P 0.146 0.222 0.343
P 0.567 0.052 0.514
Se 0.662 0.333 0.904
N 0.480 0.639 0.451
! E above lowest polymorph, meV/atom: 46.8
! Calculated volume, Å³ per cell: 83.4
! Electronic total energy, eV per formula unit: -28.44
! ΔE_f (raw), eV per atom: -0.006

---

[3]
! NiP2SeN, relaxed, DFT PBE-GGA; values from VASP
&SYSTEM
  ibrav = 0, nat = 5, ntyp = 4
/
ATOMIC_SPECIES
Ni 58.69 Ni.upf
P 30.97 P.upf
Se 78.96 Se.upf
N 14.01 N.upf
CELL_PARAMETERS angstrom
4.105 -1.363 0.000
4.105 1.363 0.000
-1.023 0.000 6.655
ATOMIC_POSITIONS crystal
Ni 0.000 0.000 0.000
P 0.229 0.229 0.832
P 0.403 0.403 0.573
Se 0.587 0.587 0.279
N 0.016 0.016 0.697
! E above lowest polymorph, meV/atom: 269.7
! Calculated volume, Å³ per cell: 74.5
! Electronic total energy, eV per formula unit: -27.33
! ΔE_f (raw), eV per atom: 0.217

---

[4]
! NiP2SeN, relaxed, DFT PBE-GGA; values from VASP
&SYSTEM
  ibrav = 0, nat = 5, ntyp = 4
/
ATOMIC_SPECIES
Ni 58.69 Ni.upf
P 30.97 P.upf
Se 78.96 Se.upf
N 14.01 N.upf
CELL_PARAMETERS angstrom
4.203 0.000 0.000
1.971 4.284 0.000
1.745 0.301 4.986
ATOMIC_POSITIONS crystal
Ni 0.000 0.000 0.000
P 0.373 0.171 0.103
P 0.758 0.485 0.844
Se 0.975 0.089 0.507
N 0.320 0.550 0.018
! E above lowest polymorph, meV/atom: 130.1
! Calculated volume, Å³ per cell: 89.8
! Electronic total energy, eV per formula unit: -28.03
! ΔE_f (raw), eV per atom: 0.077

---

[5]
! SmNi2PN, relaxed, DFT PBE-GGA; values from VASP
&SYSTEM
  ibrav = 0, nat = 10, ntyp = 4
/
ATOMIC_SPECIES
Sm 150.36 Sm.upf
Ni 58.69 Ni.upf
P 30.97 P.upf
N 14.01 N.upf
CELL_PARAMETERS angstrom
1.766 -5.571 0.000
1.766 5.571 0.000
0.000 0.000 6.707
ATOMIC_POSITIONS crystal
Sm 0.038 0.962 0.750
Sm 0.962 0.038 0.250
Ni 0.327 0.673 0.554
Ni 0.327 0.673 0.946
Ni 0.673 0.327 0.054
Ni 0.673 0.327 0.446
P 0.233 0.767 0.250
P 0.767 0.233 0.750
N 0.500 0.500 0.000
N 0.500 0.500 0.500
! Calculated volume, Å³ per cell: 132.0
! Electronic total energy, eV per formula unit: -34.43
! ΔE_f (raw), eV per atom: -0.882

---

[6]
! SmNiPN, relaxed, DFT PBE-GGA; values from VASP
&SYSTEM
  ibrav = 0, nat = 8, ntyp = 4
/
ATOMIC_SPECIES
Sm 150.36 Sm.upf
Ni 58.69 Ni.upf
P 30.97 P.upf
N 14.01 N.upf
CELL_PARAMETERS angstrom
3.733 0.000 0.000
0.000 3.733 0.000
0.000 0.000 7.964
ATOMIC_POSITIONS crystal
Sm 0.250 0.250 0.168
Sm 0.750 0.750 0.832
Ni 0.250 0.750 0.500
Ni 0.750 0.250 0.500
P 0.250 0.250 0.653
P 0.750 0.750 0.347
N 0.250 0.250 0.868
N 0.750 0.750 0.132
! Calculated volume, Å³ per cell: 111.0
! Electronic total energy, eV per formula unit: -28.76
! ΔE_f (raw), eV per atom: -1.132